A relaxed CaGd2Dy crystal, computed with PBE. Values from VASP.

Calculated values
energy	-8.637	eV/atom
space group	P4/mmm, No. 123
size of the total moment	3.83	μB per atom
volume	136	Å³/cell

The structure in Quantum ESPRESSO input format:
```
&SYSTEM
  ibrav = 0, nat = 4, ntyp = 3
/
ATOMIC_SPECIES
Ca 40.08 Ca.upf
Gd 157.25 Gd.upf
Dy 162.50 Dy.upf
ATOMIC_POSITIONS angstrom
Ca 0.640 5.191 2.512
Gd 1.644 7.837 -0.015
Gd 0.494 2.354 -0.005
Dy -0.429 0.095 2.522
CELL_PARAMETERS angstrom
-2.897 0.612 2.082
2.039 -0.422 2.961
2.138 10.191 -0.020
```